Entry from Alexandria: a relaxed Na2Sn6Au crystal (GGA-PBE).

Values from the calculation:
magnetization	0.0000	μB per atom
E_form	-0.14	eV per atom
E above lowest polymorph	0	meV/atom

Cell lengths 11.8821, 6.5702, 6.3291 Å; angles 90.00, 91.82, 90.00 degrees
Last column: nearest neighbours and their distance in Å.
Space group C2/m (No. 12)
Unique sites:
Na (0.1592, 0.0000, 0.3454)  11 Sn 3.41-3.71
Sn (0.0919, 0.2423, 0.8267)  1 Au 2.86, 4 Sn 3.07-3.18
Sn (0.1769, 0.5000, 0.2026)  1 Au 2.87, 4 Sn 3.07-3.18
Au (0.0000, 0.5000, 0.5000)  6 Sn 2.86-2.87